VASP calculation (PBE-GGA) on a geometry-optimized Pr2TmPa structure.

Output
The energy is -0.4089 Ry per atom. The calculation puts the total moment at 0.00 Bohr magnetons per cell. For the formation energy, the calculation gives 0.32 eV/atom. Its crystal system is trigonal.

Structure (CIF):
```
data_Pr2TmPa
_symmetry_space_group_name_H-M 'R -3 m'
_symmetry_Int_Tables_number 166
_symmetry_space_group_name_Hall '-R 3 2"'
_cell_length_a 3.3882
_cell_length_b 3.3882
_cell_length_c 37.4652
_cell_angle_alpha 90.00
_cell_angle_beta 90.00
_cell_angle_gamma 120.00
loop_
_atom_site_label
_atom_site_type_symbol
_atom_site_fract_x
_atom_site_fract_y
_atom_site_fract_z
_atom_site_occupancy
Pr1 Pr 0.0000 0.0000 0.0865 1
Tm1 Tm 0.0000 0.0000 0.5000 1
Pa1 Pa 0.0000 0.0000 0.0000 1
```